An optimized crystal structure of RbCo5Se8. Source: Alexandria, functional PBE-GGA.

```
RbCo5Se8
1.0
3.5320 0.0000 -0.6908
-0.4327 8.1030 -2.2123
0.0018 0.0571 9.3848
Se Co Rb
8 5 1
Cartesian
1.1384 6.9501 5.8207 Se
3.1463 1.3245 6.7121 Se
2.6814 4.2498 4.3351 Se
2.3174 6.8852 2.4740 Se
-0.0448 6.8347 -0.2293 Se
1.9627 1.2130 0.6605 Se
0.7839 1.2747 4.0080 Se
0.4201 3.9095 2.1483 Se
1.1945 0.1478 6.1077 Co
2.3544 2.5993 2.6630 Co
1.9066 8.0123 0.3733 Co
0.7473 5.5591 3.8211 Co
-0.4324 8.1025 -2.2108 Co
1.5504 4.1100 7.9274 Rb
```

Values from the calculation:
For the formation energy without anion corrections, the calculation gives -5.33 eV/f.u. Its symmetry is No. 8. Its total energy is -4.98 eV per atom.